1.
CaRhCl2: relaxed, GGA-PBE.

Geometry as POSCAR:
```
CaRhCl2
1.0
5.385 0.047 0.031
3.564 4.037 0.031
3.564 1.626 3.695
Ca Rh Cl
1 1 2
Direct
0.750 0.750 0.750
0.250 0.250 0.250
0.511 0.511 0.511
0.989 0.989 0.989
```

## Properties
Raw formation energy ... -81 kJ per mole of atoms
Space-group type ... R-3m, No. 166
Energy above the lowest structure with this stoichiometry ... 0.156 eV per atom

=====

2.
CaRhCl2: relaxed, GGA-PBE.

Geometry as POSCAR:
```
CaRhCl2
1.0
7.434 -0.004 -0.002
6.345 3.873 -0.002
6.345 1.782 3.439
Cl Rh Ca
2 1 1
Direct
0.197 0.197 0.197
0.023 0.023 0.023
0.521 0.521 0.521
0.759 0.759 0.759
```

## Properties
Raw formation energy ... -96 kJ per mole of atoms
Space-group type ... R3m, No. 160
Energy above the lowest structure with this stoichiometry ... 0.000 eV per atom

=====

Which formula does entry 1 have?
CaRhCl2

=====

Which value of energy above the lowest structure with this stoichiometry does entry 1 give?
0.156 eV per atom

=====

energy above the lowest structure with this stoichiometry of number 1 (CaRhCl2)?
0.156 eV per atom